Computed, not measured: a relaxed structure of Pr5Y2Th at the PBE level of DFT.

Unit cell a=5.1815 b=7.3131 c=14.6262 alpha=90.00 beta=90.00 gamma=90.00
Closest atoms and distances in Å follow each position.
Positions (direct):
1 Pr 0.5000 0.2475 0.3770  4 Y 3.57-3.75, 6 Pr 3.63-3.72, 2 Th 3.64
2 Pr 0.5000 0.7525 0.6230  4 Y 3.57-3.75, 6 Pr 3.63-3.72, 2 Th 3.64
3 Pr 0.0000 0.4932 0.7520  7 Pr 3.63-3.72, 1 Th 3.63, 4 Y 3.66-3.71
4 Pr 0.0000 0.5000 0.5000  6 Pr 3.66-3.69, 2 Th 3.66, 4 Y 3.67
5 Pr 0.0000 0.0000 0.0000  6 Pr 3.66-3.69, 2 Th 3.66, 4 Y 3.67
6 Pr 0.0000 0.9932 0.7480  7 Pr 3.63-3.72, 1 Th 3.63, 4 Y 3.66-3.71
7 Pr 0.0000 0.5068 0.2480  7 Pr 3.63-3.72, 1 Th 3.63, 4 Y 3.66-3.71
8 Pr 0.0000 0.0068 0.2520  7 Pr 3.63-3.72, 1 Th 3.63, 4 Y 3.66-3.71
9 Pr 0.5000 0.2525 0.8770  4 Y 3.57-3.75, 6 Pr 3.63-3.72, 2 Th 3.64
10 Pr 0.5000 0.7475 0.1230  4 Y 3.57-3.75, 6 Pr 3.63-3.72, 2 Th 3.64
11 Y 0.5000 0.7402 0.8783  10 Pr 3.57-3.75, 2 Th 3.60
12 Y 0.5000 0.2598 0.1217  10 Pr 3.57-3.75, 2 Th 3.60
13 Y 0.5000 0.2402 0.6217  10 Pr 3.57-3.75, 2 Th 3.60
14 Y 0.5000 0.7598 0.3783  10 Pr 3.57-3.75, 2 Th 3.60
15 Th 0.0000 0.5000 0.0000  4 Y 3.60, 8 Pr 3.63-3.66
16 Th 0.0000 0.0000 0.5000  4 Y 3.60, 8 Pr 3.63-3.66

Volume (Å³/cell): 554.23
Crystal system: orthorhombic
E_tot (eV per atom): -5.5045
ΔE to the lowest computed polymorph (meV/atom): 0
ΔH_f (0 K) (eV per atom): 0.03
Magnetization (μB/atom): 0.000

***

Computed, not measured: a relaxed structure of Pr3Y6Th at the PBE level of DFT.

Unit cell a=10.0081 b=10.0081 c=7.0043 alpha=44.40 beta=44.40 gamma=60.00
Closest atoms and distances in Å follow each position.
Positions (direct):
1 Pr 0.1545 0.1545 0.5365  1 Pr 2.91, 1 Th 3.03
2 Pr 0.3997 0.3997 0.8008  2 Pr 2.91
3 Pr 0.6450 0.6450 0.0650  1 Pr 2.91, 1 Th 3.03
4 Y 0.7311 0.0691 0.7997  3 Pr 3.31-3.51
5 Y 0.9002 0.5749 0.2993  1 Th 3.26, 2 Pr 3.50-3.51
6 Y 0.4001 0.7311 0.7997  3 Pr 3.31-3.51
7 Y 0.0691 0.4001 0.7997  3 Pr 3.31-3.51
8 Y 0.2256 0.9002 0.2993  1 Th 3.26, 2 Pr 3.50-3.51
9 Y 0.5749 0.2256 0.2993  1 Th 3.26, 2 Pr 3.50-3.51
10 Th 0.8998 0.8998 0.3007  2 Pr 3.03, 3 Y 3.26

Volume (Å³/cell): 343.41
Crystal system: trigonal
E_tot (eV per atom): -5.7652
ΔE to the lowest computed polymorph (meV/atom): 149
ΔH_f (0 K) (eV per atom): 0.29
Magnetization (μB/atom): 0.000

***

Computed, not measured: a relaxed structure of Pr7Y12Th at the PBE level of DFT.

Unit cell a=9.8665 b=9.8665 c=9.8665 alpha=109.47 beta=109.47 gamma=109.47
Closest atoms and distances in Å follow each position.
Positions (direct):
1 Pr 0.5000 0.5000 0.0000  12 Y 4.02-4.13
2 Pr 0.0000 0.5000 0.0000  6 Y 2.85
3 Pr 0.5000 0.5000 0.5000  6 Y 2.85
4 Pr 0.5000 0.0000 0.0000  6 Y 2.85
5 Pr 0.5000 0.0000 0.5000  12 Y 4.02-4.13
6 Pr 0.0000 0.5000 0.5000  12 Y 4.02-4.13
7 Pr 0.0000 0.0000 0.5000  6 Y 2.85
8 Y 0.4875 0.2434 0.2441  2 Pr 2.85
9 Y 0.7559 0.5125 0.7566  2 Pr 2.85
10 Y 0.7566 0.7559 0.5125  2 Pr 2.85
11 Y 0.7559 0.9994 0.2434  2 Pr 2.85
12 Y 0.2434 0.2441 0.4875  2 Pr 2.85
13 Y 0.0006 0.7566 0.2441  2 Pr 2.85
14 Y 0.7566 0.2441 0.0006  2 Pr 2.85
15 Y 0.5125 0.7566 0.7559  2 Pr 2.85
16 Y 0.2441 0.0006 0.7566  2 Pr 2.85
17 Y 0.2434 0.7559 0.9994  2 Pr 2.85
18 Y 0.2441 0.4875 0.2434  2 Pr 2.85
19 Y 0.9994 0.2434 0.7559  2 Pr 2.85
20 Th 0.0000 0.0000 0.0000  12 Y 3.93

Volume (Å³/cell): 739.38
Crystal system: cubic
E_tot (eV per atom): -5.2729
ΔE to the lowest computed polymorph (meV/atom): 418
ΔH_f (0 K) (eV per atom): 0.65
Magnetization (μB/atom): 0.000

***

Computed, not measured: a relaxed structure of Pr2Y2Th at the PBE level of DFT.

Unit cell a=6.6042 b=6.5683 c=9.2919 alpha=110.70 beta=110.82 gamma=90.00
Closest atoms and distances in Å follow each position.
Positions (direct):
1 Y 0.0920 0.2095 0.1840  3 Y 3.34-3.65, 2 Th 3.35, 2 Pr 3.47-3.55
2 Y 0.5920 0.9745 0.1840  3 Y 3.34-3.65, 2 Th 3.35, 2 Pr 3.47-3.55
3 Y 0.9080 0.7905 0.8160  3 Y 3.34-3.65, 2 Th 3.35, 2 Pr 3.47-3.55
4 Y 0.4080 0.0255 0.8160  3 Y 3.34-3.65, 2 Th 3.35, 2 Pr 3.47-3.55
5 Th 0.7500 0.5000 0.0000  2 Th 3.30, 4 Y 3.35, 4 Pr 3.56
6 Th 0.2500 0.5000 0.0000  2 Th 3.30, 4 Y 3.35, 4 Pr 3.56
7 Pr 0.8125 0.1689 0.6250  3 Y 3.47-3.78, 2 Th 3.56, 4 Pr 3.80-3.85
8 Pr 0.6875 0.5438 0.3750  3 Y 3.47-3.78, 2 Th 3.56, 4 Pr 3.80-3.85
9 Pr 0.3125 0.4562 0.6250  3 Y 3.47-3.78, 2 Th 3.56, 4 Pr 3.80-3.85
10 Pr 0.1875 0.8311 0.3750  3 Y 3.47-3.78, 2 Th 3.56, 4 Pr 3.80-3.85

Volume (Å³/cell): 348.79
Crystal system: orthorhombic
E_tot (eV per atom): -5.8348
ΔE to the lowest computed polymorph (meV/atom): 133
ΔH_f (0 K) (eV per atom): 0.15
Magnetization (μB/atom): 0.000

***

Computed, not measured: a relaxed structure of Pr3YTh at the PBE level of DFT.

Unit cell a=7.8183 b=9.4833 c=9.4833 alpha=91.57 beta=90.00 gamma=90.00
Closest atoms and distances in Å follow each position.
Positions (direct):
1 Pr 0.3813 0.1214 0.0817  4 Pr 3.31-3.63, 2 Th 3.39-3.48
2 Pr 0.8813 0.0817 0.1214  4 Pr 3.31-3.63, 2 Th 3.39-3.48
3 Pr 0.6188 0.5816 0.6214  4 Pr 3.31-3.63, 2 Th 3.39-3.48
4 Pr 0.8812 0.3786 0.4184  4 Pr 3.31-3.63, 2 Th 3.39-3.48
5 Pr 0.8607 0.9067 0.5933  5 Pr 3.34-3.63, 2 Th 3.44-3.50, 2 Y 3.58
6 Pr 0.1188 0.6214 0.5816  4 Pr 3.31-3.63, 2 Th 3.39-3.48
7 Pr 0.6393 0.4067 0.0933  5 Pr 3.34-3.63, 2 Th 3.44-3.50, 2 Y 3.58
8 Pr 0.1393 0.0933 0.4067  5 Pr 3.34-3.63, 2 Th 3.44-3.50, 2 Y 3.58
9 Pr 0.3607 0.5933 0.9067  5 Pr 3.34-3.63, 2 Th 3.44-3.50, 2 Y 3.58
10 Pr 0.3812 0.4184 0.3786  4 Pr 3.31-3.63, 2 Th 3.39-3.48
11 Pr 0.6187 0.8786 0.9183  4 Pr 3.31-3.63, 2 Th 3.39-3.48
12 Pr 0.1187 0.9183 0.8786  4 Pr 3.31-3.63, 2 Th 3.39-3.48
13 Y 0.2500 0.7657 0.2343  6 Pr 3.58-3.85, 2 Th 3.90, 2 Y 3.93
14 Y 0.7500 0.2343 0.7657  6 Pr 3.58-3.85, 2 Th 3.90, 2 Y 3.93
15 Y 0.2500 0.2656 0.7344  6 Pr 3.58-3.85, 2 Th 3.90, 2 Y 3.93
16 Y 0.7500 0.7344 0.2656  6 Pr 3.58-3.85, 2 Th 3.90, 2 Y 3.93
17 Th 0.9140 0.6043 0.8956  1 Th 3.14, 6 Pr 3.39-3.50
18 Th 0.5860 0.1044 0.3957  1 Th 3.14, 6 Pr 3.39-3.50
19 Th 0.4140 0.8956 0.6043  1 Th 3.14, 6 Pr 3.39-3.50
20 Th 0.0860 0.3957 0.1044  1 Th 3.14, 6 Pr 3.39-3.50

Volume (Å³/cell): 702.86
Crystal system: orthorhombic
E_tot (eV per atom): -5.4791
ΔE to the lowest computed polymorph (meV/atom): 0
ΔH_f (0 K) (eV per atom): 0.17
Magnetization (μB/atom): 0.000

***

Computed, not measured: a relaxed structure of Pr2Y6Th at the PBE level of DFT.

Unit cell a=3.6184 b=3.6184 c=26.6886 alpha=90.00 beta=90.00 gamma=120.00
Closest atoms and distances in Å follow each position.
Positions (direct):
1 Pr 0.6667 0.3333 0.3287  6 Y 3.57-3.68, 6 Pr 3.62
2 Pr 0.6667 0.3333 0.6713  6 Y 3.57-3.68, 6 Pr 3.62
3 Y 0.3333 0.6667 0.2150  9 Y 3.53-3.62, 3 Pr 3.68
4 Y 0.3333 0.6667 0.4373  7 Y 3.35-3.62, 3 Pr 3.57
5 Y 0.6667 0.3333 0.8915  9 Y 3.53-3.62, 3 Th 3.57
6 Y 0.6667 0.3333 0.1085  9 Y 3.53-3.62, 3 Th 3.57
7 Y 0.3333 0.6667 0.5627  7 Y 3.35-3.62, 3 Pr 3.57
8 Y 0.3333 0.6667 0.7850  9 Y 3.53-3.62, 3 Pr 3.68
9 Th 0.3333 0.6667 0.0000  6 Y 3.57, 6 Th 3.62

Volume (Å³/cell): 302.62
Crystal system: hexagonal
E_tot (eV per atom): -6.1272
ΔE to the lowest computed polymorph (meV/atom): 0
ΔH_f (0 K) (eV per atom): 0.07
Magnetization (μB/atom): 0.002

***

Computed, not measured: a relaxed structure of Pr3Y4Th2 at the PBE level of DFT.

Unit cell a=6.3826 b=9.9672 c=9.9666 alpha=83.40 beta=98.08 gamma=98.08
Closest atoms and distances in Å follow each position.
Positions (direct):
1 Y 0.9772 0.7052 0.1327  1 Th 3.38, 3 Pr 3.44-3.64, 2 Y 3.47-3.73
2 Y 0.5227 0.8676 0.2948  1 Th 3.38, 3 Pr 3.44-3.63, 2 Y 3.46-3.73
3 Y 0.0228 0.2948 0.8673  1 Th 3.38, 3 Pr 3.44-3.64, 2 Y 3.47-3.73
4 Y 0.1341 0.8715 0.5041  2 Y 3.26-3.46, 3 Th 3.43-3.54, 1 Pr 3.61
5 Y 0.6342 0.5042 0.8715  2 Y 3.26-3.47, 3 Th 3.43-3.54, 1 Pr 3.62
6 Y 0.8659 0.1285 0.4959  2 Y 3.26-3.46, 3 Th 3.43-3.54, 1 Pr 3.61
7 Y 0.4773 0.1324 0.7052  1 Th 3.38, 3 Pr 3.44-3.63, 2 Y 3.46-3.73
8 Y 0.3658 0.4958 0.1285  2 Y 3.26-3.47, 3 Th 3.43-3.54, 1 Pr 3.62
9 Pr 0.4977 0.1640 0.0468  2 Th 3.28-3.55, 3 Y 3.44-3.63, 3 Pr 3.51-3.55
10 Pr 0.7500 0.4657 0.5342  2 Pr 3.32, 4 Th 3.59-3.61, 2 Y 3.61-3.62
11 Pr 0.5023 0.8360 0.9532  2 Th 3.28-3.55, 3 Y 3.44-3.63, 3 Pr 3.51-3.55
12 Pr 0.2500 0.5343 0.4658  2 Pr 3.32, 4 Th 3.59-3.61, 2 Y 3.61-3.62
13 Pr 0.9977 0.0469 0.1640  2 Th 3.28-3.54, 3 Y 3.44-3.64, 3 Pr 3.51-3.55
14 Pr 0.0023 0.9531 0.8360  2 Th 3.28-3.54, 3 Y 3.44-3.64, 3 Pr 3.51-3.55
15 Th 0.8612 0.3672 0.2186  4 Pr 3.28-3.61, 4 Y 3.38-3.54
16 Th 0.1388 0.6328 0.7814  4 Pr 3.28-3.61, 4 Y 3.38-3.54
17 Th 0.6388 0.7814 0.6328  4 Pr 3.28-3.61, 4 Y 3.38-3.54
18 Th 0.3612 0.2186 0.3672  4 Pr 3.28-3.61, 4 Y 3.38-3.54

Volume (Å³/cell): 618.58
Crystal system: monoclinic
E_tot (eV per atom): -5.9622
ΔH_f (0 K) (eV per atom): 0.15
Magnetization (μB/atom): 0.000

***

Computed, not measured: a relaxed structure of PrY8Th6 at the PBE level of DFT.

Unit cell a=8.9025 b=8.9025 c=8.8071 alpha=59.64 beta=59.64 gamma=60.00
Closest atoms and distances in Å follow each position.
Positions (direct):
1 Y 0.5798 0.5798 0.2607  4 Y 3.39-3.42, 6 Th 3.43-3.77
2 Y 0.1934 0.8794 0.5977  6 Y 3.39-3.78, 3 Th 3.46-3.63, 1 Pr 3.54
3 Y 0.1206 0.6705 0.4023  6 Y 3.39-3.78, 3 Th 3.46-3.63, 1 Pr 3.54
4 Y 0.8794 0.3295 0.5977  6 Y 3.39-3.78, 3 Th 3.46-3.63, 1 Pr 3.54
5 Y 0.3295 0.1934 0.5977  6 Y 3.39-3.78, 3 Th 3.46-3.63, 1 Pr 3.54
6 Y 0.6705 0.8066 0.4023  6 Y 3.39-3.78, 3 Th 3.46-3.63, 1 Pr 3.54
7 Y 0.8066 0.1206 0.4023  6 Y 3.39-3.78, 3 Th 3.46-3.63, 1 Pr 3.54
8 Y 0.4202 0.4202 0.7393  4 Y 3.39-3.42, 6 Th 3.43-3.77
9 Th 0.0725 0.5356 0.1225  5 Th 3.43-3.81, 5 Y 3.43-3.77, 1 Pr 3.49
10 Th 0.2694 0.0725 0.1225  5 Th 3.43-3.81, 5 Y 3.43-3.77, 1 Pr 3.49
11 Th 0.4644 0.7306 0.8775  5 Th 3.43-3.81, 5 Y 3.43-3.77, 1 Pr 3.49
12 Th 0.5356 0.2694 0.1225  5 Th 3.43-3.81, 5 Y 3.43-3.77, 1 Pr 3.49
13 Th 0.7306 0.9275 0.8775  5 Th 3.43-3.81, 5 Y 3.43-3.77, 1 Pr 3.49
14 Th 0.9275 0.4644 0.8775  5 Th 3.43-3.81, 5 Y 3.43-3.77, 1 Pr 3.49
15 Pr 0.0000 0.0000 0.0000  6 Th 3.49, 6 Y 3.54

Volume (Å³/cell): 490.86
Crystal system: trigonal
E_tot (eV per atom): -6.5724
ΔH_f (0 K) (eV per atom): 0.16
Magnetization (μB/atom): 0.000